Computed, not measured: an optimized crystal structure of Ta2InPb at the PBE level of DFT.

Results
- Crystal system: cubic
- Space group: F-43m, No. 216
- Energy relative to the elements: 0.7519 eV/atom
- Fermi-level density of states: 0.8124 states/eV/atom

Unit cell a=4.9488 b=4.9488 c=4.9488 alpha=60.00 beta=60.00 gamma=60.00
With the nearest neighbours (Å) after each atom.
Element x y z (fractional)
Ta  0.0000  0.0000  0.0000  4 In 3.03, 4 Ta 3.03
Ta  0.2500  0.2500  0.2500  4 Pb 3.03, 4 Ta 3.03
In  0.7500  0.7500  0.7500  4 Pb 3.03, 4 Ta 3.03
Pb  0.5000  0.5000  0.5000  4 Ta 3.03, 4 In 3.03

=====

Computed, not measured: an optimized crystal structure of TaInPb3 at the PBE level of DFT.

Results
- Crystal system: cubic
- Space group: Pm-3m, No. 221
- Energy relative to the elements: 1.4949 eV/atom
- Relative energy among the computed polymorphs: 1020 meV/atom
- Fermi-level density of states: 1.6316 states/eV/atom

Unit cell a=5.6176 b=5.6176 c=5.6176 alpha=90.00 beta=90.00 gamma=90.00
With the nearest neighbours (Å) after each atom.
Element x y z (fractional)
Ta  0.0000  0.0000  0.0000  12 Pb 3.97
In  0.5000  0.5000  0.5000  6 Pb 2.81
Pb  0.0000  0.5000  0.5000  2 In 2.81
Pb  0.5000  0.0000  0.5000  2 In 2.81
Pb  0.5000  0.5000  0.0000  2 In 2.81

=====

Computed, not measured: an optimized crystal structure of Ta2InPb at the PBE level of DFT.

Results
- Crystal system: orthorhombic
- Space group: Cmmm, No. 65
- Energy relative to the elements: 0.4821 eV/atom
- Fermi-level density of states: 0.5952 states/eV/atom

Unit cell a=3.0474 b=3.0474 c=9.5155 alpha=90.00 beta=90.00 gamma=109.76
With the nearest neighbours (Å) after each atom.
Element x y z (fractional)
Ta  0.0000  0.0000  0.2473  2 In 2.93, 2 Pb 2.98, 4 Ta 3.05
Ta  0.0000  0.0000  0.7527  2 In 2.93, 2 Pb 2.98, 4 Ta 3.05
In  0.5000  0.5000  0.0000  4 Ta 2.93, 4 In 3.05
Pb  0.5000  0.5000  0.5000  4 Ta 2.98, 4 Pb 3.05

=====

Computed, not measured: an optimized crystal structure of TaIn3Pb at the PBE level of DFT.

Results
- Crystal system: cubic
- Space group: Pm-3m, No. 221
- Energy relative to the elements: 0.5972 eV/atom
- Relative energy among the computed polymorphs: 0 meV/atom
- Fermi-level density of states: 0.4119 states/eV/atom

Unit cell a=5.4131 b=5.4131 c=5.4131 alpha=90.00 beta=90.00 gamma=90.00
With the nearest neighbours (Å) after each atom.
Element x y z (fractional)
Ta  0.0000  0.0000  0.0000  6 In 2.71
In  0.0000  0.0000  0.5000  2 Ta 2.71
In  0.0000  0.5000  0.0000  2 Ta 2.71
In  0.5000  0.0000  0.0000  2 Ta 2.71
Pb  0.5000  0.5000  0.5000  12 In 3.83

=====

Computed, not measured: an optimized crystal structure of Ta2InPb at the PBE level of DFT.

Results
- Crystal system: tetragonal
- Space group: I4/mmm, No. 139
- Energy relative to the elements: 0.5635 eV/atom
- Fermi-level density of states: 0.8020 states/eV/atom

Unit cell a=5.4448 b=5.4448 c=5.4448 alpha=133.68 beta=133.68 gamma=67.59
With the nearest neighbours (Å) after each atom.
Element x y z (fractional)
Ta  0.2500  0.7500  0.5000  4 Ta 3.03, 4 In 3.12, 4 Pb 3.12
Ta  0.7500  0.2500  0.5000  4 Ta 3.03, 4 In 3.12, 4 Pb 3.12
In  0.0000  0.0000  0.0000  4 Pb 3.03, 8 Ta 3.12
Pb  0.5000  0.5000  0.0000  4 In 3.03, 8 Ta 3.12

=====

Computed, not measured: an optimized crystal structure of Ta2InPb at the PBE level of DFT.

Results
- Crystal system: orthorhombic
- Space group: Imm2, No. 44
- Energy relative to the elements: 0.4537 eV/atom
- Fermi-level density of states: 0.6707 states/eV/atom

Unit cell a=5.7046 b=5.7046 c=5.7046 alpha=143.22 beta=129.86 gamma=63.78
With the nearest neighbours (Å) after each atom.
Element x y z (fractional)
Ta  0.0000  0.0000  0.0000  2 Ta 2.74, 4 Pb 3.03
Ta  0.7863  0.2863  0.5000  2 Ta 2.74, 4 In 3.02
In  0.2595  0.7595  0.5000  8 Ta 3.02-3.36, 4 Pb 3.16-3.30
Pb  0.5272  0.5272  0.0000  8 Ta 3.03-3.36, 4 In 3.16-3.30

=====

Computed, not measured: an optimized crystal structure of Ta2InPb at the PBE level of DFT.

Results
- Crystal system: orthorhombic
- Space group: Immm, No. 71
- Energy relative to the elements: 0.4678 eV/atom
- Fermi-level density of states: 0.5713 states/eV/atom

Unit cell a=5.6669 b=5.6669 c=5.6669 alpha=144.43 beta=127.26 gamma=65.24
With the nearest neighbours (Å) after each atom.
Element x y z (fractional)
Ta  0.2499  0.2499  0.0000  2 Pb 2.95, 2 In 2.95, 4 Ta 3.05
Ta  0.7501  0.7501  0.0000  2 Pb 2.95, 2 In 2.95, 4 Ta 3.05
In  0.5000  0.0000  0.5000  4 Ta 2.95, 4 Pb 3.05
Pb  0.0000  0.5000  0.5000  4 Ta 2.95, 4 In 3.05

=====

Computed, not measured: an optimized crystal structure of TaInPb at the PBE level of DFT.

Results
- Crystal system: orthorhombic
- Space group: Fmm2, No. 42
- Energy relative to the elements: 0.4144 eV/atom
- Relative energy among the computed polymorphs: 17 meV/atom
- Fermi-level density of states: 0.7277 states/eV/atom

Unit cell a=7.9016 b=7.9006 c=3.0812 alpha=78.77 beta=78.74 gamma=22.49
With the nearest neighbours (Å) after each atom.
Element x y z (fractional)
Ta  0.0000  0.0000  0.0000  4 In 3.03, 4 Ta 3.08, 4 Pb 3.23
In  0.3611  0.3611  0.6389  4 Ta 3.03, 4 In 3.08
Pb  0.6567  0.6567  0.3433  4 Pb 3.08, 4 Ta 3.23